## Ca2AcNi2 (PBE)

Data for Ca2AcNi2 after structural relaxation.

Cell: 6.0428 6.0428 6.0708 Å, 103.77 103.77 39.06°
Positions (direct):
Ca1 0.1557 0.1557 0.0989
Ca2 0.8443 0.8443 0.9011
Ac1 0.5000 0.5000 0.5000
Ni1 0.2173 0.2173 0.5853
Ni2 0.7827 0.7827 0.4147

Calculated values
SG: C2/m, No. 12
ΔH_f (0 K), kJ/mol of atoms: -12.0
E above lowest polymorph, meV per atom: 15
Total moment, μB/cell: 0.0

## Ca2AcNi (PBE)

Data for Ca2AcNi after structural relaxation.

Cell: 11.1959 11.1959 11.1959 Å, 19.66 19.66 19.66°
Positions (direct):
Ca1 0.1154 0.1154 0.1154
Ca2 0.8846 0.8846 0.8846
Ac1 0.0000 0.0000 0.0000
Ni1 0.5000 0.5000 0.5000

Calculated values
SG: R-3m, No. 166
ΔH_f (0 K), kJ/mol of atoms: 16.2
E above lowest polymorph, meV per atom: 271
Total moment, μB/cell: 0.0

## Ca2AcNi6 (PBE)

Data for Ca2AcNi6 after structural relaxation.

Cell: 6.9074 6.9074 4.1655 Å, 90.00 90.00 120.00°
Positions (direct):
Ca1 0.3333 0.6667 0.0000
Ca2 0.6667 0.3333 0.0000
Ac1 0.0000 0.0000 0.0000
Ni1 0.0000 0.3349 0.5000
Ni2 0.0000 0.6651 0.5000
Ni3 0.3349 0.0000 0.5000
Ni4 0.3349 0.3349 0.5000
Ni5 0.6651 0.0000 0.5000
Ni6 0.6651 0.6651 0.5000

Calculated values
SG: P6/mmm, No. 191
ΔH_f (0 K), kJ/mol of atoms: -15.4
E above lowest polymorph, meV per atom: 0
Total moment, μB/cell: 0.0

## CaAc4Ni2 (PBE)

Data for CaAc4Ni2 after structural relaxation.

Cell: 7.7848 8.1788 8.5198 Å, 75.26 74.27 89.98°
Positions (direct):
Ca1 0.0000 0.0000 0.0000
Ca2 0.0066 0.9903 0.5104
Ac1 0.2226 0.6940 0.2627
Ac2 0.2307 0.6681 0.7949
Ac3 0.4353 0.1927 0.6008
Ac4 0.4381 0.2020 0.0872
Ac5 0.6467 0.7079 0.4135
Ac6 0.6654 0.6940 0.9185
Ac7 0.8975 0.3670 0.2024
Ac8 0.9187 0.3822 0.6672
Ni1 0.1955 0.3196 0.3732
Ni2 0.3696 0.9223 0.9285
Ni3 0.5100 0.4578 0.2662
Ni4 0.5439 0.4626 0.7479

Calculated values
SG: P1, No. 1
ΔH_f (0 K), kJ/mol of atoms: -7.8
E above lowest polymorph, meV per atom: 0
Total moment, μB/cell: 0.0

## CaAcNi4 (PBE)

Data for CaAcNi4 after structural relaxation.

Cell: 5.2186 5.2186 5.2186 Å, 60.00 60.00 60.00°
Positions (direct):
Ca1 0.0000 0.0000 0.0000
Ac1 0.2500 0.2500 0.2500
Ni1 0.1223 0.6259 0.6259
Ni2 0.6259 0.1223 0.6259
Ni3 0.6259 0.6259 0.1223
Ni4 0.6259 0.6259 0.6259

Calculated values
SG: F-43m, No. 216
ΔH_f (0 K), kJ/mol of atoms: -18.5
E above lowest polymorph, meV per atom: 0
Total moment, μB/cell: 0.0

## CaAc2Ni (PBE)

Data for CaAc2Ni after structural relaxation.

Cell: 3.7605 3.7605 9.8743 Å, 90.00 90.00 90.00°
Positions (direct):
Ca1 0.0000 0.0000 0.0000
Ac1 0.5000 0.5000 0.3238
Ac2 0.5000 0.5000 0.6762
Ni1 0.0000 0.0000 0.5000

Calculated values
SG: P4/mmm, No. 123
ΔH_f (0 K), kJ/mol of atoms: -4.2
E above lowest polymorph, meV per atom: 67
Total moment, μB/cell: 0.0

## CaAc6Ni2 (PBE)

Data for CaAc6Ni2 after structural relaxation.

Cell: 9.4319 9.4319 9.4319 Å, 113.94 108.35 106.23°
Positions (direct):
Ca1 0.0000 0.0000 0.0000
Ca2 0.5000 0.5000 0.0000
Ac1 0.0249 0.2310 0.7939
Ac2 0.1798 0.2980 0.4778
Ac3 0.1798 0.7020 0.8818
Ac4 0.3202 0.0025 0.6824
Ac5 0.3202 0.6378 0.3176
Ac6 0.4371 0.2310 0.2061
Ac7 0.5629 0.7690 0.7939
Ac8 0.6798 0.3622 0.6824
Ac9 0.6798 0.9975 0.3176
Ac10 0.8202 0.2980 0.1182
Ac11 0.8202 0.7020 0.5222
Ac12 0.9751 0.7690 0.2061
Ni1 0.1225 0.6225 0.5000
Ni2 0.3003 0.0000 0.3003
Ni3 0.6997 0.0000 0.6997
Ni4 0.8775 0.3775 0.5000

Calculated values
SG: Immm, No. 71
ΔH_f (0 K), kJ/mol of atoms: -6.0
Total moment, μB/cell: 0.0

## CaAc3Ni (PBE)

Data for CaAc3Ni after structural relaxation.

Cell: 13.0768 4.3683 13.4685 Å, 90.00 90.00 90.00°
Positions (direct):
Ca1 0.1111 0.2500 0.0279
Ca2 0.3889 0.7500 0.5279
Ca3 0.6111 0.2500 0.4721
Ca4 0.8889 0.7500 0.9721
Ac1 0.0941 0.7500 0.2632
Ac2 0.1305 0.2500 0.5381
Ac3 0.1602 0.7500 0.7964
Ac4 0.3398 0.2500 0.2964
Ac5 0.3695 0.7500 0.0381
Ac6 0.4059 0.2500 0.7632
Ac7 0.5941 0.7500 0.2368
Ac8 0.6305 0.2500 0.9619
Ac9 0.6602 0.7500 0.7036
Ac10 0.8398 0.2500 0.2036
Ac11 0.8695 0.7500 0.4619
Ac12 0.9059 0.2500 0.7368
Ni1 0.0098 0.7500 0.6380
Ni2 0.4902 0.2500 0.1380
Ni3 0.5098 0.7500 0.8620
Ni4 0.9902 0.2500 0.3620

Calculated values
SG: Pnma, No. 62
ΔH_f (0 K), kJ/mol of atoms: -5.8
E above lowest polymorph, meV per atom: 0
Total moment, μB/cell: 0.0

## CaAc2Ni (PBE)

Data for CaAc2Ni after structural relaxation.

Cell: 3.9946 10.3549 6.9418 Å, 90.00 106.68 90.00°
Positions (direct):
Ca1 0.0949 0.2500 0.1908
Ca2 0.9051 0.7500 0.8092
Ac1 0.3601 0.0722 0.7226
Ac2 0.3601 0.4278 0.7226
Ac3 0.6399 0.5722 0.2774
Ac4 0.6399 0.9278 0.2774
Ni1 0.2325 0.7500 0.4612
Ni2 0.7675 0.2500 0.5388

Calculated values
SG: P2_1/m, No. 11
ΔH_f (0 K), kJ/mol of atoms: -8.2
E above lowest polymorph, meV per atom: 27
Total moment, μB/cell: 0.0

## Ca2Ac4Ni (PBE)

Data for Ca2Ac4Ni after structural relaxation.

Cell: 10.3443 10.3443 10.3443 Å, 148.06 148.06 45.79°
Positions (direct):
Ca1 0.1461 0.1461 0.0000
Ca2 0.8539 0.8539 0.0000
Ac1 0.0000 0.5000 0.5000
Ac2 0.3439 0.3439 0.0000
Ac3 0.5000 0.0000 0.5000
Ac4 0.6561 0.6561 0.0000
Ni1 0.5000 0.5000 0.0000

Calculated values
SG: I4/mmm, No. 139
ΔH_f (0 K), kJ/mol of atoms: 12.5
Total moment, μB/cell: 0.0

## Ca3AcNi (PBE)

Data for Ca3AcNi after structural relaxation.

Cell: 6.5663 6.7925 10.4078 Å, 90.00 129.10 90.00°
Positions (direct):
Ca1 0.0000 0.1676 0.0000
Ca2 0.0000 0.8324 0.5000
Ca3 0.2475 0.3256 0.7478
Ca4 0.2475 0.6744 0.2478
Ca5 0.4960 0.1677 0.4967
Ca6 0.4960 0.8323 0.9967
Ac1 0.7394 0.3315 0.2479
Ac2 0.7394 0.6685 0.7479
Ni1 0.5040 0.0029 0.2491
Ni2 0.5040 0.9971 0.7491

Calculated values
SG: Pc, No. 7
ΔH_f (0 K), kJ/mol of atoms: -3.6
E above lowest polymorph, meV per atom: 0
Total moment, μB/cell: 0.0

Question: Which of these has the highest ΔH_f (0 K)?
Answer: Ca2AcNi